VASP calculation (GGA-PBE) on a relaxed structure of AcLaErTl.

Cell and atoms, written as extended XYZ:
```
4
Lattice="0.000 4.037 4.037 4.037 0.000 4.037 4.037 4.037 0.000" Properties=species:S:1:pos:R:3 pbc="T T T"
Ac 0.000 0.000 0.000
La 6.055 6.055 6.055
Er 2.018 2.018 2.018
Tl 4.037 4.037 4.037
```

## Properties
- Theoretical density: 9.3 Mg/m³
- Electronic total energy: -3.984 eV/atom
- Energy relative to the elements: 0.0077 eV/atom
- Total magnetization: 0.01 μB per formula unit

---

VASP calculation (GGA-PBE) on a relaxed structure of Ho2ErTe.

Cell and atoms, written as extended XYZ:
```
4
Lattice="1.883 1.087 10.785 -1.883 1.087 10.785 0.000 -2.174 10.785" Properties=species:S:1:pos:R:3 pbc="T T T"
Ho 0.000 0.000 3.310
Ho 0.000 0.000 29.046
Er 0.000 0.000 0.000
Te 0.000 0.000 16.178
```

## Properties
- Theoretical density: 7.8 Mg/m³
- Electronic total energy: -4.389 eV/atom
- Total magnetization: 0.67 μB per formula unit

---

VASP calculation (GGA-PBE) on a relaxed structure of TaTiI2Br.

Cell and atoms, written as extended XYZ:
```
5
Lattice="5.308 0.000 0.000 0.000 5.308 0.000 0.000 0.000 5.250" Properties=species:S:1:pos:R:3 pbc="T T T"
Ta 0.000 0.000 0.000
Ti 0.000 0.000 2.625
I 0.000 2.654 2.625
I 2.654 0.000 2.625
Br 2.654 2.654 0.000
```

## Properties
- Theoretical density: 6.3 Mg/m³
- Electronic total energy: -4.234 eV/atom
- Total magnetization: 1.69 μB per formula unit

---

VASP calculation (GGA-PBE) on a relaxed structure of CaCeIn6.

Cell and atoms, written as extended XYZ:
```
8
Lattice="4.718 0.000 0.000 0.000 4.718 0.000 0.000 0.000 9.426" Properties=species:S:1:pos:R:3 pbc="T T T"
Ca 0.000 0.000 0.000
Ce 0.000 0.000 4.713
In 0.000 2.359 2.348
In 0.000 2.359 7.077
In 2.359 0.000 2.348
In 2.359 0.000 7.077
In 2.359 2.359 0.000
In 2.359 2.359 4.713
```

## Properties
- Theoretical density: 6.9 Mg/m³
- Electronic total energy: -3.409 eV/atom
- Energy relative to the elements: -0.3629 eV/atom
- Total magnetization: 0.79 μB per formula unit